## NaUCoN3 (PBE)

Data for crystalline NaUCoN3 at its relaxed geometry.

The structure belongs to space group P2_1/m (No. 11); the cell edges are 6.9116, 3.4817 and 7.9890 Å and the angles 90.00°, 101.59° and 90.00°. Symmetry generates all atoms from Na at (0.1697, 0.2500, 0.1773), U at (0.3327, 0.7500, 0.8414), Co at (0.0548, 0.2500, 0.6042), N at (0.1435, 0.2500, 0.8498), N at (0.1560, 0.7500, 0.5793) and N at (0.4561, 0.7500, 0.1251).

For the formation energy without anion corrections, the calculation gives -3.9 eV/f.u.